1.
The following is a GGA-PBE calculation of an optimized crystal structure of Li3AcC4O12, from Alexandria via LeMat-Bulk.

Magnetization in μB per cell: 5.86
Calculated density in g/cm3: 3.532
Uncorrected energy in eV/f.u.: -141.353
Energy relative to the elements, uncorrected in eV/atom: -1.755

Lattice parameters (Å, degrees): 9.7963 9.7963 8.2801 90.00 90.00 120.00
Space group R32 (No. 155, hexagonal axes)
One atom of each set of equivalent atoms:
Li 0.0000 0.5535 0.0000 [9 per cell]
Ac 0.0000 0.0000 0.0000 [3 per cell]
C 0.0000 0.0000 0.5000 [3 per cell]
C 0.0000 0.4423 0.5000 [9 per cell]
O 0.0000 0.5738 0.5000 [9 per cell]
O 0.0000 0.8690 0.5000 [9 per cell]
O 0.0223 0.2234 0.1775 [18 per cell]

=====

2.
The following is a GGA-PBE calculation of an optimized crystal structure of LiAc3C4O12, from Alexandria via LeMat-Bulk.

Magnetization in μB per cell: 1.83
Calculated density in g/cm3: 4.946
Uncorrected energy in eV/f.u.: -150.239
Energy relative to the elements, uncorrected in eV/atom: -1.980

Lattice parameters (Å, degrees): 10.5425 10.5425 9.7094 90.00 90.00 120.00
Space group R32 (No. 155, hexagonal axes)
One atom of each set of equivalent atoms:
Li 0.0000 0.0000 0.0000 [3 per cell]
Ac 0.0000 0.5106 0.0000 [9 per cell]
C 0.0000 0.0000 0.5000 [3 per cell]
C 0.0000 0.4893 0.5000 [9 per cell]
O 0.0000 0.6140 0.5000 [9 per cell]
O 0.0000 0.8719 0.5000 [9 per cell]
O 0.0340 0.2088 0.8282 [18 per cell]

=====

3.
The following is a GGA-PBE calculation of an optimized crystal structure of AcLuC, from Alexandria via LeMat-Bulk.

Energy relative to the elements in eV per atom: 0.448
Magnetization in μB per cell: 0.00
Calculated density in g/cm3: 9.982
Uncorrected energy in eV/f.u.: -16.510

Lattice parameters (Å, degrees): 3.303 3.303 12.626 90.00 90.00 90.00
Space group I4mm (No. 107)
One atom of each set of equivalent atoms:
Ac 0.000 0.000 0.000 [2 per cell]
Lu 0.000 0.000 0.773 [2 per cell]
C 0.000 0.000 0.368 [2 per cell]

=====

4.
The following is a GGA-PBE calculation of an optimized crystal structure of AcLu2C, from Alexandria via LeMat-Bulk.

Energy relative to the elements in eV per atom: -0.110
Magnetization in μB per cell: 0.00
Calculated density in g/cm3: 9.022
Uncorrected energy in eV/f.u.: -22.813

Lattice parameters (Å, degrees): 3.5405 3.5405 29.9562 90.00 90.00 120.00
Space group R-3m (No. 166, hexagonal axes)
One atom of each set of equivalent atoms:
Ac 0.0000 0.0000 0.0000 [3 per cell]
Lu 0.0000 0.0000 0.1234 [6 per cell]
C 0.0000 0.0000 0.5000 [3 per cell]

=====

5.
The following is a GGA-PBE calculation of an optimized crystal structure of AcLuC, from Alexandria via LeMat-Bulk.

Energy relative to the elements in eV per atom: -0.049
Magnetization in μB per cell: 0.00
Calculated density in g/cm3: 8.749
Uncorrected energy in eV/f.u.: -18.002

Lattice parameters (Å, degrees): 3.6929 3.6929 6.6527 90.00 90.00 120.00
Space group P3m1 (No. 156)
One atom of each set of equivalent atoms:
Ac 0.0000 0.0000 0.0000 [1 per cell]
Lu 0.3333 0.6667 0.4237 [1 per cell]
C 0.6667 0.3333 0.2589 [1 per cell]

=====

6.
The following is a GGA-PBE calculation of an optimized crystal structure of Ac2MgC, from Alexandria via LeMat-Bulk.

Energy relative to the elements in eV per atom: 0.122
Magnetization in μB per cell: 0.00
Calculated density in g/cm3: 6.611
Uncorrected energy in eV/f.u.: -18.547

Lattice parameters (Å, degrees): 3.8784 3.8784 28.3642 90.00 90.00 120.00
Space group R-3m (No. 166, hexagonal axes)
One atom of each set of equivalent atoms:
Ac 0.0000 0.0000 0.2213 [6 per cell]
Mg 0.0000 0.0000 0.0000 [3 per cell]
C 0.0000 0.0000 0.5000 [3 per cell]